Record 1
Compound: InCuCl
Source: the Alexandria database
Functional: PBE
Structure: optimized geometry

Energy relative to the elements, uncorrected = -60 kJ/mol of formula units
Symmetry = Amm2, No. 38
ΔE to the lowest computed polymorph = 0.04 eV/f.u.

a = 11.8363 Å, b = 3.4652 Å, c = 6.8392 Å
α = 90.00°, β = 90.00°, γ = 90.00°
Closest atoms and distances in Å follow each position.
Atoms (fractional coordinates):
1 In 0.1412 0.0000 0.0000  1 Cl 2.66, 3 Cu 2.70-2.73
2 In 0.1412 0.5000 0.5000  1 Cl 2.66, 3 Cu 2.70-2.73
3 In 0.8588 0.0000 0.0000  1 Cl 2.66, 3 Cu 2.70-2.73
4 In 0.8588 0.5000 0.5000  1 Cl 2.66, 3 Cu 2.70-2.73
5 Cu 0.0000 0.0000 0.3105  6 In 2.70-2.73
6 Cu 0.0000 0.5000 0.8105  6 In 2.70-2.73
7 Cu 0.5000 0.0000 0.4528  4 Cl 2.37
8 Cu 0.5000 0.5000 0.9528  4 Cl 2.37
9 Cl 0.3637 0.0000 0.9490  2 Cu 2.37
10 Cl 0.3637 0.5000 0.4490  2 Cu 2.37
11 Cl 0.6363 0.0000 0.9490  2 Cu 2.37
12 Cl 0.6363 0.5000 0.4490  2 Cu 2.37

Record 2
Compound: PaTiRe
Source: the Alexandria database
Functional: PBE
Structure: optimized geometry

Symmetry = R3, No. 146
ΔE to the lowest computed polymorph = 0.47 eV/f.u.

a = 6.6627 Å, b = 6.6627 Å, c = 6.6627 Å
α = 58.25°, β = 58.25°, γ = 58.25°
Closest atoms and distances in Å follow each position.
Atoms (fractional coordinates):
1 Pa 0.0234 0.3294 0.6472  3 Re 2.64-2.86
2 Pa 0.3294 0.6472 0.0234  3 Re 2.64-2.86
3 Pa 0.6472 0.0234 0.3294  3 Re 2.64-2.86
4 Ti 0.2143 0.7653 0.5243  3 Re 2.58-2.67
5 Ti 0.5243 0.2143 0.7653  3 Re 2.58-2.67
6 Ti 0.7653 0.5243 0.2143  3 Re 2.58-2.67
7 Re 0.2114 0.2114 0.2114  3 Ti 2.58, 3 Pa 2.86
8 Re 0.7495 0.7495 0.7495  3 Pa 2.64, 3 Ti 2.67, 1 Re 2.70
9 Re 0.9125 0.9125 0.9125  3 Ti 2.61, 3 Pa 2.65, 1 Re 2.70

Record 3
Compound: Er2Cu9Pd
Source: the Alexandria database
Functional: PBE
Structure: optimized geometry

Symmetry = R-3m, No. 166

a = 8.5243 Å, b = 8.5243 Å, c = 8.5243 Å
α = 34.68°, β = 34.68°, γ = 34.68°
Closest atoms and distances in Å follow each position.
Atoms (fractional coordinates):
1 Er 0.1328 0.1328 0.1328  9 Cu 2.82-3.04
2 Er 0.8672 0.8672 0.8672  9 Cu 2.82-3.04
3 Cu 0.0776 0.5836 0.5836  7 Cu 2.44-2.57
4 Cu 0.3336 0.3336 0.3336  6 Cu 2.44-2.45
5 Cu 0.4164 0.4164 0.9224  7 Cu 2.44-2.57
6 Cu 0.4164 0.9224 0.4164  7 Cu 2.44-2.57
7 Cu 0.5000 0.5000 0.5000  6 Cu 2.52
8 Cu 0.5836 0.0776 0.5836  7 Cu 2.44-2.57
9 Cu 0.5836 0.5836 0.0776  7 Cu 2.44-2.57
10 Cu 0.6664 0.6664 0.6664  6 Cu 2.44-2.45
11 Cu 0.9224 0.4164 0.4164  7 Cu 2.44-2.57
12 Pd 0.0000 0.0000 0.0000  18 Cu 2.93-3.21, 2 Er 3.19

Record 4
Compound: KCr2As
Source: the Alexandria database
Functional: PBE
Structure: optimized geometry

Symmetry = C2/m, No. 12

a = 6.3725 Å, b = 10.1714 Å, c = 3.0565 Å
α = 90.00°, β = 118.15°, γ = 90.00°
Closest atoms and distances in Å follow each position.
Atoms (fractional coordinates):
1 K 0.0000 0.0000 0.0000  4 Cr 3.01, 2 K 3.06, 4 As 3.19-3.21
2 K 0.5000 0.5000 0.0000  4 Cr 3.01, 2 K 3.06, 4 As 3.19-3.21
3 Cr 0.2500 0.2500 0.5000  2 As 3.01, 2 K 3.01, 6 Cr 3.06-3.21
4 Cr 0.2500 0.7500 0.5000  2 As 3.01, 2 K 3.01, 6 Cr 3.06-3.21
5 Cr 0.7500 0.2500 0.5000  2 As 3.01, 2 K 3.01, 6 Cr 3.06-3.21
6 Cr 0.7500 0.7500 0.5000  2 As 3.01, 2 K 3.01, 6 Cr 3.06-3.21
7 As 0.0000 0.5000 0.0000  4 Cr 3.01, 2 As 3.06, 4 K 3.19-3.21
8 As 0.5000 0.0000 0.0000  4 Cr 3.01, 2 As 3.06, 4 K 3.19-3.21

Record 5
Compound: LaPrDyMg
Source: the Alexandria database
Functional: PBE
Structure: optimized geometry

Symmetry = F-43m, No. 216
ΔE to the lowest computed polymorph = 0.17 eV/f.u.

a = 8.0185 Å, b = 8.0185 Å, c = 8.0185 Å
α = 90.00°, β = 90.00°, γ = 90.00°
Closest atoms and distances in Å follow each position.
Atoms (fractional coordinates):
1 La 0.0000 0.0000 0.0000  4 Dy 3.47, 4 Mg 3.47
2 La 0.0000 0.5000 0.5000  4 Dy 3.47, 4 Mg 3.47
3 La 0.5000 0.0000 0.5000  4 Dy 3.47, 4 Mg 3.47
4 La 0.5000 0.5000 0.0000  4 Dy 3.47, 4 Mg 3.47
5 Pr 0.0000 0.0000 0.5000  4 Mg 3.47, 4 Dy 3.47
6 Pr 0.0000 0.5000 0.0000  4 Mg 3.47, 4 Dy 3.47
7 Pr 0.5000 0.0000 0.0000  4 Mg 3.47, 4 Dy 3.47
8 Pr 0.5000 0.5000 0.5000  4 Mg 3.47, 4 Dy 3.47
9 Dy 0.2500 0.2500 0.2500  4 La 3.47, 4 Pr 3.47
10 Dy 0.2500 0.7500 0.7500  4 La 3.47, 4 Pr 3.47
11 Dy 0.7500 0.2500 0.7500  4 La 3.47, 4 Pr 3.47
12 Dy 0.7500 0.7500 0.2500  4 La 3.47, 4 Pr 3.47
13 Mg 0.2500 0.2500 0.7500  4 La 3.47, 4 Pr 3.47
14 Mg 0.2500 0.7500 0.2500  4 La 3.47, 4 Pr 3.47
15 Mg 0.7500 0.2500 0.2500  4 La 3.47, 4 Pr 3.47
16 Mg 0.7500 0.7500 0.7500  4 Pr 3.47, 4 La 3.47

Record 6
Compound: Er4MgRh3
Source: the Alexandria database
Functional: PBE
Structure: optimized geometry

Symmetry = I4/mcm, No. 140

a = 8.1798 Å, b = 8.1798 Å, c = 8.1798 Å
α = 97.19°, β = 97.19°, γ = 138.57°
Closest atoms and distances in Å follow each position.
Atoms (fractional coordinates):
1 Er 0.0789 0.7827 0.8616  4 Rh 2.85-2.92, 1 Er 3.12
2 Er 0.2173 0.0789 0.2962  4 Rh 2.85-2.92, 1 Er 3.12
3 Er 0.2827 0.5789 0.8616  4 Rh 2.85-2.92, 1 Er 3.12
4 Er 0.4211 0.2827 0.7038  4 Rh 2.85-2.92, 1 Er 3.12
5 Er 0.5789 0.7173 0.2962  4 Rh 2.85-2.92, 1 Er 3.12
6 Er 0.7173 0.4211 0.1384  4 Rh 2.85-2.92, 1 Er 3.12
7 Er 0.7827 0.9211 0.7038  4 Rh 2.85-2.92, 1 Er 3.12
8 Er 0.9211 0.2173 0.1384  4 Rh 2.85-2.92, 1 Er 3.12
9 Mg 0.2500 0.7500 0.5000  4 Rh 2.89, 2 Mg 2.89
10 Mg 0.7500 0.2500 0.5000  4 Rh 2.89, 2 Mg 2.89
11 Rh 0.1635 0.3365 0.5000  4 Er 2.85-2.92, 2 Mg 2.89
12 Rh 0.2500 0.2500 0.0000  8 Er 2.89, 2 Rh 2.89
13 Rh 0.3365 0.8365 0.1730  4 Er 2.85-2.92, 2 Mg 2.89
14 Rh 0.6635 0.1635 0.8270  4 Er 2.85-2.92, 2 Mg 2.89
15 Rh 0.7500 0.7500 0.0000  8 Er 2.89, 2 Rh 2.89
16 Rh 0.8365 0.6635 0.5000  4 Er 2.85-2.92, 2 Mg 2.89

Record 7
Compound: YBe17Ir
Source: the Alexandria database
Functional: PBE
Structure: optimized geometry

Symmetry = R3m, No. 160

a = 5.6429 Å, b = 5.6429 Å, c = 5.6429 Å
α = 83.41°, β = 83.41°, γ = 83.41°
Closest atoms and distances in Å follow each position.
Atoms (fractional coordinates):
1 Y 0.0000 0.0000 0.0000  19 Be 2.72-2.86
2 Be 0.0088 0.0088 0.4905  9 Be 2.18-2.44
3 Be 0.0088 0.4905 0.0088  9 Be 2.18-2.44
4 Be 0.1469 0.6637 0.6637  10 Be 2.12-2.34
5 Be 0.3148 0.3148 0.7834  9 Be 2.15-2.26
6 Be 0.3148 0.7834 0.3148  9 Be 2.15-2.26
7 Be 0.3670 0.6461 0.9526  8 Be 2.10-2.30
8 Be 0.3670 0.9526 0.6461  8 Be 2.10-2.30
9 Be 0.4905 0.0088 0.0088  9 Be 2.18-2.44
10 Be 0.5546 0.5546 0.5546  7 Be 2.11-2.34
11 Be 0.6461 0.3670 0.9526  8 Be 2.10-2.30
12 Be 0.6461 0.9526 0.3670  8 Be 2.10-2.30
13 Be 0.6637 0.1469 0.6637  10 Be 2.12-2.34
14 Be 0.6637 0.6637 0.1469  10 Be 2.12-2.34
15 Be 0.7489 0.7489 0.7489  4 Be 2.11-2.25
16 Be 0.7834 0.3148 0.3148  9 Be 2.15-2.26
17 Be 0.9526 0.3670 0.6461  8 Be 2.10-2.30
18 Be 0.9526 0.6461 0.3670  8 Be 2.10-2.30
19 Ir 0.3296 0.3296 0.3296  13 Be 2.44-2.72

Record 8
Compound: CaTb6Sm2
Source: the Alexandria database
Functional: PBE
Structure: optimized geometry

Symmetry = P-1, No. 2

a = 7.2485 Å, b = 8.9931 Å, c = 9.5807 Å
α = 103.30°, β = 100.83°, γ = 90.02°
Closest atoms and distances in Å follow each position.
Atoms (fractional coordinates):
1 Ca 0.2121 0.3338 0.3541  10 Tb 3.61-3.68, 2 Sm 3.65-3.66
2 Ca 0.7879 0.6662 0.6459  10 Tb 3.61-3.68, 2 Sm 3.65-3.66
3 Tb 0.0444 0.3282 0.6882  9 Tb 3.49-3.67, 1 Sm 3.58, 2 Ca 3.63-3.64
4 Tb 0.0868 0.0058 0.8362  7 Tb 3.50-3.68, 4 Sm 3.54-3.67, 1 Ca 3.65
5 Tb 0.1228 0.6656 0.9839  4 Sm 3.55-3.64, 7 Tb 3.56-3.65, 1 Ca 3.66
6 Tb 0.2486 0.9905 0.5027  9 Tb 3.48-3.68, 2 Sm 3.59-3.69, 1 Ca 3.68
7 Tb 0.2865 0.6712 0.6512  7 Tb 3.48-3.67, 2 Sm 3.58-3.63, 3 Ca 3.61-3.64
8 Tb 0.4517 0.6713 0.3140  7 Tb 3.51-3.67, 3 Sm 3.51-3.61, 2 Ca 3.63
9 Tb 0.5483 0.3287 0.6860  7 Tb 3.51-3.67, 3 Sm 3.51-3.61, 2 Ca 3.63
10 Tb 0.7135 0.3288 0.3488  7 Tb 3.48-3.67, 2 Sm 3.58-3.63, 3 Ca 3.61-3.64
11 Tb 0.7514 0.0095 0.4973  9 Tb 3.48-3.68, 2 Sm 3.59-3.69, 1 Ca 3.68
12 Tb 0.8772 0.3344 0.0161  4 Sm 3.55-3.64, 7 Tb 3.56-3.65, 1 Ca 3.66
13 Tb 0.9132 0.9942 0.1638  7 Tb 3.50-3.68, 4 Sm 3.54-3.67, 1 Ca 3.65
14 Tb 0.9556 0.6718 0.3118  9 Tb 3.49-3.67, 1 Sm 3.58, 2 Ca 3.63-3.64
15 Sm 0.3794 0.3351 0.0165  8 Tb 3.54-3.64, 3 Sm 3.54-3.65, 1 Ca 3.66
16 Sm 0.4197 0.9949 0.1649  8 Tb 3.51-3.69, 3 Sm 3.54-3.65, 1 Ca 3.65
17 Sm 0.5803 0.0051 0.8351  8 Tb 3.51-3.69, 3 Sm 3.54-3.65, 1 Ca 3.65
18 Sm 0.6206 0.6649 0.9835  8 Tb 3.54-3.64, 3 Sm 3.54-3.65, 1 Ca 3.66

Record 9
Compound: Mg2InAs
Source: the Alexandria database
Functional: PBE
Structure: optimized geometry

Symmetry = R-3m, No. 166
ΔE to the lowest computed polymorph = 0.39 eV/f.u.

a = 3.6115 Å, b = 3.6115 Å, c = 24.6399 Å
α = 90.00°, β = 90.00°, γ = 120.00°
Closest atoms and distances in Å follow each position.
Atoms (fractional coordinates):
1 Mg 0.0000 0.0000 0.2362  3 As 2.70
2 Mg 0.0000 0.0000 0.7638  3 As 2.70
3 Mg 0.3333 0.6667 0.4305  3 As 2.70
4 Mg 0.3333 0.6667 0.9028  3 As 2.70
5 Mg 0.6667 0.3333 0.0972  3 As 2.70
6 Mg 0.6667 0.3333 0.5695  3 As 2.70
7 In 0.0000 0.0000 0.0000  6 Mg 3.17
8 In 0.3333 0.6667 0.6667  6 Mg 3.17
9 In 0.6667 0.3333 0.3333  6 Mg 3.17
10 As 0.0000 0.0000 0.5000  6 Mg 2.70
11 As 0.3333 0.6667 0.1667  6 Mg 2.70
12 As 0.6667 0.3333 0.8333  6 Mg 2.70

Record 10
Compound: Mg4CdRh
Source: the Alexandria database
Functional: PBE
Structure: optimized geometry

Symmetry = P4/mmm, No. 123
ΔE to the lowest computed polymorph = 0.00 eV/f.u.

a = 3.2633 Å, b = 3.2633 Å, c = 10.9416 Å
α = 90.00°, β = 90.00°, γ = 90.00°
Closest atoms and distances in Å follow each position.
Atoms (fractional coordinates):
1 Mg 0.0000 0.0000 0.1298  4 Rh 2.71, 1 Mg 2.84
2 Mg 0.0000 0.0000 0.8702  4 Rh 2.71, 1 Mg 2.84
3 Mg 0.5000 0.5000 0.3235  4 Cd 3.01, 8 Mg 3.13-3.26
4 Mg 0.5000 0.5000 0.6765  4 Cd 3.01, 8 Mg 3.13-3.26
5 Cd 0.0000 0.0000 0.5000  8 Mg 3.01, 4 Cd 3.26
6 Rh 0.5000 0.5000 0.0000  8 Mg 2.71

| no. | DOS(E_F) (states/eV/f.u.) | VASP energy (eV per atom) |
| --- | --- | --- |
| 1 | 0.767 | -3.10 |
| 2 | 4.249 | -9.58 |
| 3 | 6.875 | -4.39 |
| 4 | 3.492 | -5.30 |
| 5 | 4.799 | -3.96 |
| 6 | 3.003 | -5.96 |
| 7 | 4.965 | -4.26 |
| 8 | 12.152 | -4.32 |
| 9 | 2.615 | -2.82 |
| 10 | 1.714 | -2.69 |